*w*
A geometry-optimized ZrSe2I structure. Source: Alexandria, functional PBE.

Cell and atoms, written as POSCAR:
```
ZrSe2I
1.0
-3.736 3.736 5.487
3.736 -3.736 5.487
3.736 3.736 -5.487
Zr Se I
2 4 2
Cartesian
0.000 0.000 0.000
0.000 3.736 2.744
5.604 1.066 -1.372
1.066 1.868 1.372
-1.868 2.670 4.115
2.670 1.868 6.859
3.736 0.000 2.744
0.000 0.000 5.487
```

Properties
D(E_F): 1.17 states/eV per atom
spin magnetization: 1.868 μB per cell



*x*
A geometry-optimized ZrSe2I structure. Source: Alexandria, functional PBE.

Cell and atoms, written as POSCAR:
```
ZrSe2I
1.0
1.855 1.071 11.867
-1.855 1.071 11.867
0.000 -2.142 11.867
Zr Se I
1 2 1
Cartesian
0.000 0.000 0.000
0.000 0.000 13.505
0.000 0.000 22.097
0.000 0.000 17.801
```

Properties
D(E_F): 0.51 states/eV per atom
spin magnetization: 0.000 μB per cell



Which of them is most stable, and which least? Most stable: *x*; least stable: *w*.



*w*
A geometry-optimized ZrSe2I structure. Source: Alexandria, functional PBE.

Cell and atoms, written as POSCAR:
```
ZrSe2I
1.0
1.812 1.046 9.872
-1.812 1.046 9.872
0.000 -2.092 9.872
Zr Se I
1 2 1
Cartesian
0.000 0.000 0.000
0.000 0.000 2.511
0.000 0.000 27.105
0.000 0.000 14.808
```

Properties
D(E_F): 0.89 states/eV per atom
spin magnetization: 0.000 μB per cell



*x*
A geometry-optimized ZrSe2I structure. Source: Alexandria, functional PBE.

Cell and atoms, written as POSCAR:
```
ZrSe2I
1.0
3.705 0.000 0.000
-1.852 3.209 0.000
0.000 0.000 11.412
Zr Se I
1 2 1
Cartesian
0.000 0.000 0.000
0.000 2.139 9.773
1.852 1.070 1.644
1.852 1.070 5.978
```

Properties
D(E_F): 0.36 states/eV per atom
spin magnetization: 0.000 μB per cell



Which of them is most stable, and which least? Most stable: *x*; least stable: *w*.



*w*
A geometry-optimized SiI structure. Source: Alexandria, functional PBE.

Cell and atoms, written as POSCAR:
```
SiI
1.0
13.054 0.000 0.000
0.000 13.054 0.000
0.000 0.000 4.015
Si I
8 8
Cartesian
2.787 10.178 0.000
2.876 2.787 0.000
3.684 9.339 2.007
3.716 3.684 2.007
9.339 9.370 2.007
9.370 3.716 2.007
10.178 10.268 0.000
10.268 2.876 0.000
0.377 3.106 0.000
3.106 12.677 0.000
3.399 6.835 2.007
6.219 3.399 2.007
6.835 9.655 2.007
9.655 6.219 2.007
9.948 0.377 0.000
12.677 9.948 0.000
```

Properties
D(E_F): 0.16 states/eV per atom
spin magnetization: 0.000 μB per cell



*x*
A geometry-optimized SiI structure. Source: Alexandria, functional PBE.

Cell and atoms, written as POSCAR:
```
SiI
1.0
7.858 0.000 0.000
0.000 7.858 0.000
0.000 0.000 6.684
Si I
4 4
Cartesian
1.334 1.334 0.000
2.594 5.263 3.342
5.263 2.594 3.342
6.523 6.523 0.000
1.320 6.537 0.000
2.608 2.608 3.342
5.249 5.249 3.342
6.537 1.320 0.000
```

Properties
D(E_F): 0.35 states/eV per atom
spin magnetization: 0.000 μB per cell



*y*
A geometry-optimized SiI structure. Source: Alexandria, functional PBE.

Cell and atoms, written as POSCAR:
```
SiI
1.0
0.000 3.860 9.162
3.813 0.000 9.162
3.813 3.860 0.000
Si I
4 4
Cartesian
2.860 2.895 0.085
4.766 4.825 4.666
2.860 2.895 13.658
4.766 4.825 18.238
2.860 1.053 6.871
4.766 2.983 11.452
2.860 4.737 6.871
4.766 6.667 11.452
```

Properties
D(E_F): 0.80 states/eV per atom
spin magnetization: 0.000 μB per cell



Which of them is most stable, and which least? Most stable: *w*; least stable: *x*.



*w*
A geometry-optimized SiI structure. Source: Alexandria, functional PBE.

Cell and atoms, written as POSCAR:
```
SiI
1.0
5.587 0.000 0.000
1.897 7.609 0.000
0.745 1.620 7.938
Si I
4 4
Cartesian
0.000 0.000 0.000
1.142 0.945 1.864
3.200 1.948 2.422
3.948 1.791 0.137
1.115 3.637 2.110
2.642 2.605 6.363
5.081 5.564 6.871
7.518 7.506 3.867
```

Properties
spin magnetization: 0.000 μB per cell



*x*
A geometry-optimized SiI structure. Source: Alexandria, functional PBE.

Cell and atoms, written as POSCAR:
```
SiI
1.0
4.284 0.000 0.000
-2.142 3.710 0.000
0.000 0.000 11.098
Si I
2 2
Cartesian
0.000 2.473 0.000
2.142 1.237 5.549
0.000 2.473 4.183
2.142 1.237 9.732
```

Properties
D(E_F): 1.26 states/eV per atom
spin magnetization: 0.001 μB per cell



*y*
A geometry-optimized SiI structure. Source: Alexandria, functional PBE.

Cell and atoms, written as POSCAR:
```
SiI
1.0
12.952 0.000 0.000
-6.476 11.217 0.000
0.000 0.000 4.024
Si I
6 6
Cartesian
-2.726 5.943 1.006
2.692 5.885 1.006
0.034 10.606 1.006
6.442 0.611 3.018
3.784 5.332 3.018
9.202 5.274 3.018
-0.465 4.843 1.006
-2.049 9.198 1.006
3.961 2.824 3.018
2.515 8.392 1.006
8.525 2.018 3.018
6.941 6.374 3.018
```

Properties
D(E_F): 0.17 states/eV per atom
spin magnetization: 0.000 μB per cell



Which of them is most stable, and which least? Most stable: *w*; least stable: *x*.



*w*
A geometry-optimized SiI structure. Source: Alexandria, functional PBE.

Cell and atoms, written as POSCAR:
```
SiI
1.0
8.533 0.000 0.000
0.000 8.533 0.000
0.000 0.000 8.533
Si I
6 6
Cartesian
0.000 2.133 4.267
0.000 6.400 4.267
2.133 4.267 0.000
4.267 0.000 2.133
4.267 0.000 6.400
6.400 4.267 0.000
0.000 4.267 2.133
0.000 4.267 6.400
2.133 0.000 4.267
4.267 2.133 0.000
4.267 6.400 0.000
6.400 0.000 4.267
```

Properties
D(E_F): 0.75 states/eV per atom
spin magnetization: 6.093 μB per cell



*x*
A geometry-optimized SiI structure. Source: Alexandria, functional PBE.

Cell and atoms, written as POSCAR:
```
SiI
1.0
0.000 3.056 3.056
3.056 0.000 3.056
3.056 3.056 0.000
Si I
1 1
Cartesian
0.000 0.000 0.000
3.056 3.056 3.056
```

Properties
D(E_F): 1.07 states/eV per atom
spin magnetization: 0.000 μB per cell



*y*
A geometry-optimized SiI structure. Source: Alexandria, functional PBE.

Cell and atoms, written as POSCAR:
```
SiI
1.0
4.495 0.000 0.000
0.302 7.848 0.000
0.180 2.159 9.418
Si I
4 4
Cartesian
0.000 0.000 0.000
0.470 6.414 2.713
1.583 5.887 0.681
3.115 7.370 1.658
0.263 4.940 4.672
1.085 4.482 9.284
1.721 8.633 3.659
3.644 1.664 7.191
```

Properties
spin magnetization: 0.000 μB per cell



*z*
A geometry-optimized SiI structure. Source: Alexandria, functional PBE.

Cell and atoms, written as POSCAR:
```
SiI
1.0
-4.505 4.505 4.505
4.505 -4.505 4.505
4.505 4.505 -4.505
Si I
4 4
Cartesian
3.663 3.663 -3.663
3.663 -3.663 3.663
0.842 0.842 0.842
-3.663 3.663 3.663
2.254 2.254 -2.254
2.254 -2.254 2.254
-2.254 2.254 2.254
2.250 2.250 2.250
```

Properties
D(E_F): 0.51 states/eV per atom
spin magnetization: 0.000 μB per cell



Which of them is most stable, and which least? Most stable: *y*; least stable: *w*.



*w*
A geometry-optimized Sm2SiI structure. Source: Alexandria, functional PBE.

Cell and atoms, written as POSCAR:
```
Sm2SiI
1.0
2.121 1.224 7.761
-2.121 1.224 7.761
0.000 -2.449 7.761
Sm Si I
2 1 1
Cartesian
0.000 0.000 0.000
0.000 0.000 4.723
0.000 0.000 14.030
0.000 0.000 10.088
```

Properties
D(E_F): 0.65 states/eV per atom
spin magnetization: 0.000 μB per cell



*x*
A geometry-optimized Sm2SiI structure. Source: Alexandria, functional PBE.

Cell and atoms, written as POSCAR:
```
Sm2SiI
1.0
2.142 1.236 7.606
-2.142 1.236 7.606
0.000 -2.473 7.606
Sm Si I
2 1 1
Cartesian
0.000 0.000 5.293
0.000 0.000 17.526
0.000 0.000 11.409
0.000 0.000 0.000
```

Properties
D(E_F): 0.41 states/eV per atom
spin magnetization: 0.000 μB per cell



Which of them is most stable, and which least? Most stable: *x*; least stable: *w*.



*w*
A geometry-optimized SiSn3I structure. Source: Alexandria, functional PBE.

Cell and atoms, written as POSCAR:
```
SiSn3I
1.0
5.416 0.000 0.000
0.000 5.416 0.000
0.000 0.000 5.416
Si Sn I
1 3 1
Cartesian
0.000 0.000 0.000
0.000 0.000 2.708
0.000 2.708 0.000
2.708 0.000 0.000
2.708 2.708 2.708
```

Properties
D(E_F): 1.73 states/eV per atom
spin magnetization: 0.000 μB per cell



*x*
A geometry-optimized SiSn3I structure. Source: Alexandria, functional PBE.

Cell and atoms, written as POSCAR:
```
SiSn3I
1.0
5.823 0.000 0.000
0.000 5.823 0.000
0.000 0.000 5.823
Si Sn I
1 3 1
Cartesian
0.000 0.000 0.000
0.000 2.911 2.911
2.911 0.000 2.911
2.911 2.911 0.000
2.911 2.911 2.911
```

Properties
D(E_F): 0.67 states/eV per atom
spin magnetization: 0.000 μB per cell



Which of them is most stable, and which least? Most stable: *w*; least stable: *x*.



*w*
A geometry-optimized SiSnI3 structure. Source: Alexandria, functional PBE.

Cell and atoms, written as POSCAR:
```
SiSnI3
1.0
6.063 0.000 0.000
0.000 6.063 0.000
0.000 0.000 6.063
Si Sn I
1 1 3
Cartesian
0.000 0.000 0.000
3.031 3.031 3.031
0.000 3.031 3.031
3.031 0.000 3.031
3.031 3.031 0.000
```

Properties
D(E_F): 0.96 states/eV per atom
spin magnetization: 1.094 μB per cell



*x*
A geometry-optimized SiSnI3 structure. Source: Alexandria, functional PBE.

Cell and atoms, written as POSCAR:
```
SiSnI3
1.0
5.639 0.000 0.000
0.000 5.639 0.000
0.000 0.000 5.639
Si Sn I
1 1 3
Cartesian
0.000 0.000 0.000
2.820 2.820 2.820
0.000 0.000 2.820
0.000 2.820 0.000
2.820 0.000 0.000
```

Properties
D(E_F): 0.50 states/eV per atom
spin magnetization: 0.999 μB per cell



Which of them is most stable, and which least? Most stable: *x*; least stable: *w*.



*w*
A geometry-optimized Si2SnI structure. Source: Alexandria, functional PBE.

Cell and atoms, written as POSCAR:
```
Si2SnI
1.0
-2.902 2.902 7.501
2.902 -2.902 7.501
2.902 2.902 -7.501
Si Sn I
4 2 2
Cartesian
4.353 1.272 -1.875
1.272 1.451 1.875
-1.451 1.630 5.626
1.630 1.451 9.376
0.000 0.000 0.000
0.000 2.902 3.750
2.902 0.000 3.750
0.000 0.000 7.501
```

Properties
D(E_F): 0.23 states/eV per atom
spin magnetization: 0.000 μB per cell



*x*
A geometry-optimized Si2SnI structure. Source: Alexandria, functional PBE.

Cell and atoms, written as POSCAR:
```
Si2SnI
1.0
0.000 3.594 3.594
3.594 0.000 3.594
3.594 3.594 0.000
Si Sn I
2 1 1
Cartesian
1.797 1.797 1.797
5.391 5.391 5.391
0.000 0.000 0.000
3.594 3.594 3.594
```

Properties
D(E_F): 0.76 states/eV per atom
spin magnetization: 0.000 μB per cell



Which of them is most stable, and which least? Most stable: *w*; least stable: *x*.



*w*
A geometry-optimized SiSnTeI2 structure. Source: Alexandria, functional PBE.

Cell and atoms, written as POSCAR:
```
SiSnTeI2
1.0
5.442 0.000 0.000
0.000 5.442 0.000
0.000 0.000 5.627
Si Sn Te I
1 1 1 2
Cartesian
0.000 0.000 0.000
2.721 2.721 2.814
0.000 0.000 2.814
0.000 2.721 0.000
2.721 0.000 0.000
```

Properties
D(E_F): 0.32 states/eV per atom
spin magnetization: 0.000 μB per cell



*x*
A geometry-optimized SiSnTeI2 structure. Source: Alexandria, functional PBE.

Cell and atoms, written as POSCAR:
```
SiSnTeI2
1.0
5.885 0.000 0.000
0.000 5.885 0.000
0.000 0.000 5.905
Si Sn Te I
1 1 1 2
Cartesian
0.000 0.000 0.000
2.942 2.942 2.952
2.942 2.942 0.000
0.000 2.942 2.952
2.942 0.000 2.952
```

Properties
D(E_F): 0.63 states/eV per atom
spin magnetization: 0.500 μB per cell



Which of them is most stable, and which least? Most stable: *w*; least stable: *x*.